{
  "formula": "BaCuIr3",
  "functional": "PBE",
  "state": "relaxed",
  "n_ef_per_ev_cell": 6.7,
  "energy_ry_per_atom": -0.4070,
  "formation_energy_ev_per_fu": 4.9,
  "cell": [[4.7021, 0.0000, 0.0000], [0.0000, 4.7021, 0.0000], [0.0000, 0.0000, 4.7021]],
  "species": ["Ir", "Cu", "Ir", "Ba", "Ir"],
  "frac_coords": [[0.5000, 0.0000, 0.0000], [0.0000, 0.0000, 0.0000], [0.0000, 0.5000, 0.0000], [0.5000, 0.5000, 0.5000], [0.0000, 0.0000, 0.5000]]
}

{
  "formula": "KLi2Mg",
  "functional": "PBE",
  "state": "relaxed",
  "n_ef_per_ev_cell": 5.0,
  "energy_ry_per_atom": -0.0990,
  "formation_energy_ev_per_fu": 1.1,
  "cell": [[5.1184, 0.0000, 0.0000], [0.0000, 5.1184, 0.0000], [2.5592, 2.5592, 10.8638]],
  "species": ["K", "Li", "Li", "Mg", "K", "Li", "Li", "Mg"],
  "frac_coords": [[0.0000, 0.0000, 0.0000], [0.5128, 0.1250, 0.2500], [0.3750, 0.4872, 0.7500], [0.5000, 0.5000, 0.0000], [0.7500, 0.2500, 0.5000], [0.2372, 0.6250, 0.2500], [0.8750, 0.7628, 0.7500], [0.2500, 0.7500, 0.5000]]
}